Nd3Tl3Hg2: relaxed, GGA-PBE.

The total moment is 0.000 μB/f.u. Its symmetry is No. 189. The value obtained for the formation energy is -0.36 eV per atom. The excess energy over the best structure of this formula in the dataset is 0 meV/atom.

abc: 8.4096 8.4096 3.7735
angles: 90.00 90.00 120.00
Positions (direct):
Nd: 0.0000 0.3835 0.0000
Nd: 0.3835 0.0000 0.0000
Nd: 0.6165 0.6165 0.0000
Tl: 0.0000 0.7602 0.5000
Tl: 0.2398 0.2398 0.5000
Tl: 0.7602 0.0000 0.5000
Hg: 0.3333 0.6667 0.5000
Hg: 0.6667 0.3333 0.5000

=====

Nd5TlHg6: relaxed, GGA-PBE.

The total moment is 0.000 μB/f.u. Its symmetry is No. 71. The value obtained for the formation energy is -0.43 eV per atom.

abc: 9.4269 9.4269 9.4269
angles: 147.48 130.94 60.10
Positions (direct):
Nd: 0.0000 0.0000 0.0000
Nd: 0.1799 0.6799 0.5000
Nd: 0.3597 0.3597 0.0000
Nd: 0.6403 0.6403 0.0000
Nd: 0.8201 0.3201 0.5000
Tl: 0.5000 0.0000 0.5000
Hg: 0.0629 0.8276 0.2353
Hg: 0.2194 0.5000 0.7194
Hg: 0.4077 0.1724 0.2353
Hg: 0.5923 0.8276 0.7647
Hg: 0.7806 0.5000 0.2806
Hg: 0.9371 0.1724 0.7647

=====

Nd2TlHg2: relaxed, GGA-PBE.

The total moment is 0.000 μB/f.u. Its symmetry is No. 164. The value obtained for the formation energy is -0.29 eV per atom.

abc: 5.2294 5.2294 6.7079
angles: 90.00 90.00 120.00
Positions (direct):
Nd: 0.3333 0.6667 0.1999
Nd: 0.6667 0.3333 0.8001
Tl: 0.0000 0.0000 0.0000
Hg: 0.3333 0.6667 0.6721
Hg: 0.6667 0.3333 0.3279